No. 1
First-principles (PBE) data for an optimized crystal structure of LaMnPb, as listed in Alexandria.

Values from the calculation:
D(E_F) = 3.238 states/eV/cell
Size of the total moment = 0.92 μB per atom
Calculated total energy = -0.2123 hartree per atom

a b c (Å): 3.9704 3.9389 5.5534
angles (deg): 90.00 110.99 90.00
Site moments in Bohr magnetons follow the coordinates.
Element x y z (fractional)
La  0.2072  0.0000  0.1307  -0.23
Mn  0.9295  0.0000  0.5781  3.17
Pb  0.4903  0.5000  0.6996  -0.06

No. 2
First-principles (PBE) data for an optimized crystal structure of CoCuTc2, as listed in Alexandria.

Values from the calculation:
D(E_F) = 4.188 states/eV/cell
Energy above the most stable polymorph in this dataset = 0.084 eV per atom
Size of the total moment = 0.33 μB per atom
Calculated total energy = -0.2857 hartree per atom

a b c (Å): 3.0692 3.0692 5.5688
angles (deg): 90.00 90.00 90.00
Site moments in Bohr magnetons follow the coordinates.
Element x y z (fractional)
Co  0.0000  0.0000  0.5200  1.24
Cu  0.5000  0.5000  0.7288  0.01
Tc  0.0000  0.0000  0.9967  -0.11
Tc  0.5000  0.5000  0.2545  0.21

No. 3
First-principles (PBE) data for an optimized crystal structure of Ce2HfRh9, as listed in Alexandria.

Values from the calculation:
D(E_F) = 10.536 states/eV/cell
Size of the total moment = 0.00 μB per atom
Calculated total energy = -0.2942 hartree per atom

a b c (Å): 4.0296 4.0296 12.0466
angles (deg): 90.00 90.00 90.00
Element x y z (fractional)
Ce  0.0000  0.0000  0.3299
Ce  0.0000  0.0000  0.6701
Hf  0.0000  0.0000  0.0000
Rh  0.5000  0.5000  0.0000
Rh  0.5000  0.5000  0.3292
Rh  0.5000  0.5000  0.6708
Rh  0.5000  0.0000  0.1581
Rh  0.5000  0.0000  0.5000
Rh  0.5000  0.0000  0.8419
Rh  0.0000  0.5000  0.1581
Rh  0.0000  0.5000  0.5000
Rh  0.0000  0.5000  0.8419

No. 4
First-principles (PBE) data for an optimized crystal structure of LaEuTlAg, as listed in Alexandria.

Values from the calculation:
D(E_F) = 11.570 states/eV/cell
Size of the total moment = 1.77 μB per atom
Calculated total energy = -0.2004 hartree per atom

a b c (Å): 5.5198 5.5198 5.5198
angles (deg): 60.00 60.00 60.00
Site moments in Bohr magnetons follow the coordinates.
Element x y z (fractional)
Eu  0.2500  0.2500  0.2500  6.84
Tl  0.5000  0.5000  0.5000  0.00
Ag  0.0000  0.0000  0.0000  0.00
La  0.7500  0.7500  0.7500  0.00

No. 5
First-principles (PBE) data for an optimized crystal structure of Na2TcIO6, as listed in Alexandria.

Values from the calculation:
D(E_F) = 3.797 states/eV/cell
Size of the total moment = 0.20 μB per atom
Calculated total energy = -0.2013 hartree per atom

a b c (Å): 4.7180 5.5780 5.5780
angles (deg): 90.00 90.00 90.00
Site moments in Bohr magnetons follow the coordinates.
Element x y z (fractional)
Na  0.0128  0.5000  0.0000  0.00
Na  0.0128  0.0000  0.5000  0.00
Tc  0.5787  0.5000  0.5000  1.39
I  0.6259  0.0000  0.0000  0.08
O  0.6941  0.2603  0.2603  0.04
O  0.6941  0.2603  0.7397  0.04
O  0.2035  0.5000  0.5000  0.14
O  0.2364  0.0000  0.0000  0.03
O  0.6941  0.7397  0.7397  0.04
O  0.6941  0.7397  0.2603  0.04

No. 6
First-principles (PBE) data for an optimized crystal structure of Ac4GaIr, as listed in Alexandria.

Values from the calculation:
D(E_F) = 11.733 states/eV/cell
Size of the total moment = 0.00 μB per atom
Calculated total energy = -0.1876 hartree per atom

a b c (Å): 7.8467 7.4699 9.3178
angles (deg): 108.43 109.90 101.61
Element x y z (fractional)
Ac  0.9479  0.2931  0.0791
Ac  0.6312  0.7860  0.0791
Ac  0.2823  0.5432  0.5760
Ac  0.7177  0.4568  0.4240
Ac  0.2063  0.9672  0.4240
Ac  0.3688  0.2140  0.9209
Ac  0.7937  0.0328  0.5760
Ac  0.0521  0.7069  0.9209
Ga  0.3764  0.6264  0.2528
Ga  0.6236  0.3736  0.7472
Ir  0.0783  0.8283  0.6565
Ir  0.9217  0.1717  0.3435